(1)
! Pd2PbC (PBE-GGA, optimized geometry); values from VASP
&SYSTEM
  ibrav = 0, nat = 16, ntyp = 3
/
ATOMIC_SPECIES
Pd 106.42 Pd.upf
Pb 207.20 Pb.upf
C 12.01 C.upf
CELL_PARAMETERS angstrom
6.378 0.000 0.000
0.000 6.378 0.000
0.000 0.000 6.378
ATOMIC_POSITIONS crystal
Pd 0.250 0.250 0.250
Pd 0.250 0.250 0.750
Pd 0.250 0.750 0.250
Pd 0.250 0.750 0.750
Pd 0.750 0.250 0.250
Pd 0.750 0.250 0.750
Pd 0.750 0.750 0.250
Pd 0.750 0.750 0.750
Pb 0.000 0.000 0.000
Pb 0.000 0.500 0.500
Pb 0.500 0.000 0.500
Pb 0.500 0.500 0.000
C 0.000 0.000 0.500
C 0.000 0.500 0.000
C 0.500 0.000 0.000
C 0.500 0.500 0.500
! space group: Fm-3m
! total DFT energy (no corrections): -4.673 eV per atom
! size of the total moment: 0.0 μB per cell
! V: 259.46 Å³/cell

---

(2)
! PdPbC (PBE-GGA, optimized geometry); values from VASP
&SYSTEM
  ibrav = 0, nat = 12, ntyp = 3
/
ATOMIC_SPECIES
Pd 106.42 Pd.upf
Pb 207.20 Pb.upf
C 12.01 C.upf
CELL_PARAMETERS angstrom
4.008 0.000 0.000
0.000 5.772 0.000
0.000 0.000 9.345
ATOMIC_POSITIONS crystal
Pd 0.000 0.246 0.000
Pd 0.000 0.754 0.000
Pd 0.500 0.254 0.500
Pd 0.500 0.746 0.500
Pb 0.000 0.000 0.302
Pb 0.000 0.000 0.698
Pb 0.500 0.500 0.198
Pb 0.500 0.500 0.802
C 0.000 0.385 0.500
C 0.000 0.615 0.500
C 0.500 0.115 0.000
C 0.500 0.885 0.000
! space group: Immm
! total DFT energy (no corrections): -5.619 eV per atom
! size of the total moment: 0.0 μB per cell
! V: 216.22 Å³/cell

---

(3)
! PdPbC (PBE-GGA, optimized geometry); values from VASP
&SYSTEM
  ibrav = 0, nat = 12, ntyp = 3
/
ATOMIC_SPECIES
Pd 106.42 Pd.upf
Pb 207.20 Pb.upf
C 12.01 C.upf
CELL_PARAMETERS angstrom
8.837 0.000 0.000
0.000 5.484 0.000
-2.822 0.000 4.897
ATOMIC_POSITIONS crystal
Pd 0.250 0.250 0.000
Pd 0.250 0.750 0.000
Pd 0.750 0.250 0.000
Pd 0.750 0.750 0.000
Pb 0.110 0.000 0.331
Pb 0.390 0.500 0.669
Pb 0.610 0.500 0.331
Pb 0.890 0.000 0.669
C 0.072 0.500 0.995
C 0.428 0.000 0.005
C 0.572 0.000 0.995
C 0.928 0.500 0.005
! space group: C2/m
! total DFT energy (no corrections): -5.687 eV per atom
! size of the total moment: 0.0 μB per cell
! V: 237.35 Å³/cell

---

(4)
! PdPbC (PBE-GGA, optimized geometry); values from VASP
&SYSTEM
  ibrav = 0, nat = 12, ntyp = 3
/
ATOMIC_SPECIES
Pd 106.42 Pd.upf
Pb 207.20 Pb.upf
C 12.01 C.upf
CELL_PARAMETERS angstrom
7.427 0.000 0.000
0.000 8.636 0.000
-2.047 0.000 3.556
ATOMIC_POSITIONS crystal
Pd 0.000 0.000 0.000
Pd 0.059 0.500 0.630
Pd 0.500 0.500 0.000
Pd 0.559 0.000 0.630
Pb 0.279 0.300 0.323
Pb 0.279 0.700 0.323
Pb 0.779 0.200 0.323
Pb 0.779 0.800 0.323
C 0.278 0.000 0.036
C 0.437 0.000 0.986
C 0.778 0.500 0.036
C 0.937 0.500 0.986
! space group: Cm
! total DFT energy (no corrections): -5.598 eV per atom
! size of the total moment: 0.0 μB per cell
! V: 228.09 Å³/cell

---

(5)
! Pd2PbC (PBE-GGA, optimized geometry); values from VASP
&SYSTEM
  ibrav = 0, nat = 16, ntyp = 3
/
ATOMIC_SPECIES
Pd 106.42 Pd.upf
Pb 207.20 Pb.upf
C 12.01 C.upf
CELL_PARAMETERS angstrom
5.291 0.000 0.000
0.000 5.291 0.000
0.000 0.000 11.200
ATOMIC_POSITIONS crystal
Pd 0.112 0.250 0.125
Pd 0.250 0.612 0.375
Pd 0.250 0.888 0.875
Pd 0.388 0.250 0.625
Pd 0.612 0.750 0.625
Pd 0.750 0.112 0.875
Pd 0.750 0.388 0.375
Pd 0.888 0.750 0.125
Pb 0.000 0.000 0.500
Pb 0.000 0.500 0.750
Pb 0.500 0.000 0.250
Pb 0.500 0.500 0.000
C 0.000 0.000 0.000
C 0.000 0.500 0.250
C 0.500 0.000 0.750
C 0.500 0.500 0.500
! space group: I-42d
! total DFT energy (no corrections): -5.309 eV per atom
! size of the total moment: 0.0 μB per cell
! V: 313.57 Å³/cell

---

(6)
! PdPb3C (PBE-GGA, optimized geometry); values from VASP
&SYSTEM
  ibrav = 0, nat = 5, ntyp = 3
/
ATOMIC_SPECIES
Pd 106.42 Pd.upf
Pb 207.20 Pb.upf
C 12.01 C.upf
CELL_PARAMETERS angstrom
4.927 0.000 0.000
0.000 4.927 0.000
0.000 0.000 4.927
ATOMIC_POSITIONS crystal
Pd 0.000 0.000 0.000
Pb 0.000 0.500 0.500
Pb 0.500 0.000 0.500
Pb 0.500 0.500 0.000
C 0.500 0.500 0.500
! space group: Pm-3m
! total DFT energy (no corrections): -4.164 eV per atom
! size of the total moment: 0.0 μB per cell
! V: 119.57 Å³/cell

---

(7)
! PdPb3C (PBE-GGA, optimized geometry); values from VASP
&SYSTEM
  ibrav = 0, nat = 5, ntyp = 3
/
ATOMIC_SPECIES
Pd 106.42 Pd.upf
Pb 207.20 Pb.upf
C 12.01 C.upf
CELL_PARAMETERS angstrom
5.331 0.000 0.000
0.000 5.331 0.000
0.000 0.000 5.331
ATOMIC_POSITIONS crystal
Pd 0.000 0.000 0.000
Pb 0.000 0.000 0.500
Pb 0.000 0.500 0.000
Pb 0.500 0.000 0.000
C 0.500 0.500 0.500
! space group: Pm-3m
! total DFT energy (no corrections): -3.749 eV per atom
! size of the total moment: 1.0 μB per cell
! V: 151.50 Å³/cell

---

(8)
! PdPbC (PBE-GGA, optimized geometry); values from VASP
&SYSTEM
  ibrav = 0, nat = 6, ntyp = 3
/
ATOMIC_SPECIES
Pd 106.42 Pd.upf
Pb 207.20 Pb.upf
C 12.01 C.upf
CELL_PARAMETERS angstrom
4.065 0.000 0.000
-0.037 4.460 0.000
-1.978 -1.675 6.327
ATOMIC_POSITIONS crystal
Pd 0.000 0.000 0.000
Pd 0.137 0.616 0.270
Pb 0.353 0.808 0.703
Pb 0.668 0.170 0.350
C 0.858 0.286 0.771
C 0.956 0.524 0.936
! space group: P1
! total DFT energy (no corrections): -5.616 eV per atom
! size of the total moment: 0.0 μB per cell
! V: 114.70 Å³/cell

---

(9)
! PdPbC (PBE-GGA, optimized geometry); values from VASP
&SYSTEM
  ibrav = 0, nat = 6, ntyp = 3
/
ATOMIC_SPECIES
Pd 106.42 Pd.upf
Pb 207.20 Pb.upf
C 12.01 C.upf
CELL_PARAMETERS angstrom
4.523 0.000 0.000
-0.339 5.190 0.000
-2.105 -2.530 4.751
ATOMIC_POSITIONS crystal
Pd 0.000 0.000 0.000
Pd 0.489 0.659 0.996
Pb 0.154 0.647 0.369
Pb 0.778 0.277 0.627
C 0.395 0.263 0.998
C 0.559 0.064 0.998
! space group: P1
! total DFT energy (no corrections): -5.677 eV per atom
! size of the total moment: 0.0 μB per cell
! V: 111.53 Å³/cell

---

(10)
! Re2PdPbC (PBE-GGA, optimized geometry); values from VASP
&SYSTEM
  ibrav = 0, nat = 5, ntyp = 4
/
ATOMIC_SPECIES
Re 186.21 Re.upf
Pd 106.42 Pd.upf
Pb 207.20 Pb.upf
C 12.01 C.upf
CELL_PARAMETERS angstrom
4.031 0.000 0.000
0.000 4.031 0.000
0.000 0.000 5.140
ATOMIC_POSITIONS crystal
Re 0.000 0.500 0.000
Re 0.500 0.000 0.000
Pd 0.000 0.000 0.500
Pb 0.500 0.500 0.500
C 0.500 0.500 0.000
! space group: P4/mmm
! total DFT energy (no corrections): -7.796 eV per atom
! size of the total moment: 0.5 μB per cell
! V: 83.53 Å³/cell

---

(11)
! Re2PdPbC (PBE-GGA, optimized geometry); values from VASP
&SYSTEM
  ibrav = 0, nat = 5, ntyp = 4
/
ATOMIC_SPECIES
Re 186.21 Re.upf
Pd 106.42 Pd.upf
Pb 207.20 Pb.upf
C 12.01 C.upf
CELL_PARAMETERS angstrom
5.304 0.000 0.000
0.000 5.304 0.000
0.000 0.000 5.013
ATOMIC_POSITIONS crystal
Re 0.000 0.500 0.000
Re 0.500 0.000 0.000
Pd 0.000 0.000 0.500
Pb 0.000 0.000 0.000
C 0.500 0.500 0.500
! space group: P4/mmm
! total DFT energy (no corrections): -4.841 eV per atom
! size of the total moment: 5.9 μB per cell
! V: 141.01 Å³/cell

---

(12)
! Sb2PdPbC (PBE-GGA, optimized geometry); values from VASP
&SYSTEM
  ibrav = 0, nat = 5, ntyp = 4
/
ATOMIC_SPECIES
Sb 121.76 Sb.upf
Pd 106.42 Pd.upf
Pb 207.20 Pb.upf
C 12.01 C.upf
CELL_PARAMETERS angstrom
5.778 0.000 0.000
0.000 5.778 0.000
0.000 0.000 5.106
ATOMIC_POSITIONS crystal
Sb 0.000 0.500 0.000
Sb 0.500 0.000 0.000
Pd 0.000 0.000 0.500
Pb 0.000 0.000 0.000
C 0.500 0.500 0.500
! ΔE_f (raw): 2.150 eV per atom
! space group: P4/mmm
! total DFT energy (no corrections): -3.124 eV per atom
! size of the total moment: 1.2 μB per cell
! V: 170.50 Å³/cell